Entry 1:
# CaTbGaAg (PBE-GGA, relaxed)
# ΔE_f in eV/atom: -0.42
# ρ in g/cm3: 6.453
data_CaTbGaAg
_chemical_formula_sum 'Ca4 Tb4 Ga4 Ag4'
_space_group_name_H-M_alt 'F -4 3 m'
_space_group_IT_number 216
_space_group_name_Hall 'F -4 2 3'
_cell_length_a 7.291
_cell_length_b 7.291
_cell_length_c 7.291
_cell_angle_alpha 90.00
_cell_angle_beta 90.00
_cell_angle_gamma 90.00
loop_
_atom_site_label
_atom_site_type_symbol
_atom_site_fract_x
_atom_site_fract_y
_atom_site_fract_z
_atom_site_occupancy
Ca1 Ca 0.000 0.000 0.000 1
Tb1 Tb 0.000 0.000 0.500 1
Ga1 Ga 0.250 0.250 0.750 1
Ag1 Ag 0.250 0.250 0.250 1

***

Entry 2:
# HfTcTe2 (PBE-GGA, relaxed)
# ρ in g/cm3: 9.551
# E_tot in eV per atom: -6.324
data_HfTcTe2
_chemical_formula_sum 'Hf3 Tc3 Te6'
_space_group_name_H-M_alt 'R -3 m'
_space_group_IT_number 166
_space_group_name_Hall '-R 3 2"'
_cell_length_a 3.3701
_cell_length_b 3.3701
_cell_length_c 28.1942
_cell_angle_alpha 90.00
_cell_angle_beta 90.00
_cell_angle_gamma 120.00
loop_
_atom_site_label
_atom_site_type_symbol
_atom_site_fract_x
_atom_site_fract_y
_atom_site_fract_z
_atom_site_occupancy
Hf1 Hf 0.0000 0.0000 0.0000 1
Tc1 Tc 0.0000 0.0000 0.5000 1
Te1 Te 0.0000 0.0000 0.4091 1

***

Entry 3:
# GaSnPd (PBE-GGA, relaxed)
# ΔE_f in eV/atom: -0.29
# ρ in g/cm3: 8.331
data_GaSnPd
_chemical_formula_sum 'Ga4 Sn4 Pd4'
_space_group_name_H-M_alt 'P n m a'
_space_group_IT_number 62
_space_group_name_Hall '-P 2ac 2n'
_cell_length_a 6.844
_cell_length_b 3.050
_cell_length_c 11.262
_cell_angle_alpha 90.00
_cell_angle_beta 90.00
_cell_angle_gamma 90.00
loop_
_atom_site_label
_atom_site_type_symbol
_atom_site_fract_x
_atom_site_fract_y
_atom_site_fract_z
_atom_site_occupancy
Ga1 Ga 0.237 0.250 0.059 1
Sn1 Sn 0.057 0.250 0.803 1
Pd1 Pd 0.102 0.250 0.394 1

***

Number 1 is which compound? CaTbGaAg

***

Copy entry 3 word for word.
# GaSnPd (PBE-GGA, relaxed)
# ΔE_f in eV/atom: -0.29
# ρ in g/cm3: 8.331
data_GaSnPd
_chemical_formula_sum 'Ga4 Sn4 Pd4'
_space_group_name_H-M_alt 'P n m a'
_space_group_IT_number 62
_space_group_name_Hall '-P 2ac 2n'
_cell_length_a 6.844
_cell_length_b 3.050
_cell_length_c 11.262
_cell_angle_alpha 90.00
_cell_angle_beta 90.00
_cell_angle_gamma 90.00
loop_
_atom_site_label
_atom_site_type_symbol
_atom_site_fract_x
_atom_site_fract_y
_atom_site_fract_z
_atom_site_occupancy
Ga1 Ga 0.237 0.250 0.059 1
Sn1 Sn 0.057 0.250 0.803 1
Pd1 Pd 0.102 0.250 0.394 1

***

What is the ρ in the first record? 6.453 g/cm3